! KSmCrO4 (PBE+U, optimized geometry); values from VASP
&SYSTEM
  ibrav = 0, nat = 14, ntyp = 4
/
ATOMIC_SPECIES
K 39.10 K.upf
Sm 150.36 Sm.upf
Cr 52.00 Cr.upf
O 16.00 O.upf
ATOMIC_POSITIONS angstrom
K 0.5411 1.4380 1.1203
K 3.1127 4.3140 6.6893
Sm 0.6432 4.3140 3.6336
Sm 3.0106 1.4380 4.1759
Cr 0.1227 1.4380 5.3303
Cr 3.5311 4.3140 2.4793
O -1.4010 1.4380 6.2298
O -0.4517 1.4380 3.6151
O 1.3246 0.0710 5.2884
O 1.3246 2.8051 5.2884
O 2.3292 2.9470 2.5211
O 2.3292 5.6811 2.5211
O 4.1055 4.3140 4.1944
O 5.0548 4.3140 1.5797
CELL_PARAMETERS angstrom
5.7538 0.0000 0.0000
0.0000 5.7521 0.0000
-2.1000 0.0000 7.8095
! Total magnetic moment = 0.29 μB per atom
! Total DFT energy (no corrections) = -6.998 eV per atom
! Space group = P2_1/m, No. 11